Entry 1:
First-principles (PBE) data for a relaxed Tb2Sm2Os crystal, as listed in Alexandria.

VASP energy (eV per formula unit): -30.28
D(E_F) (states/eV/f.u.): 5.742
Crystal system: monoclinic
M_tot (μB/cell): 0.0

a = 7.4430 Å, b = 12.0947 Å, c = 7.4531 Å
α = 90.00°, β = 116.15°, γ = 90.00°
Space group C2/m (No. 12)
Inequivalent atoms, fractional coordinates:
Tb (0.0575, 0.2238, 0.2559)
Sm (0.2264, 0.5000, 0.8977)
Sm (0.2415, 0.0000, 0.5937)
Os (0.0000, 0.3710, 0.5000)

***

Entry 2:
First-principles (PBE) data for a relaxed Na5Tl5Ga2 crystal, as listed in Alexandria.

VASP energy (eV per formula unit): -25.47
D(E_F) (states/eV/f.u.): 5.189
Crystal system: trigonal
M_tot (μB/cell): 0.0

a = 5.2605 Å, b = 5.2605 Å, c = 41.0863 Å
α = 90.00°, β = 90.00°, γ = 120.00°
Space group R-3m (No. 166, hexagonal axes)
Inequivalent atoms, fractional coordinates:
Na (0.0000, 0.0000, 0.0000)
Na (0.0000, 0.0000, 0.1936)
Na (0.0000, 0.0000, 0.2752)
Tl (0.0000, 0.0000, 0.1032)
Tl (0.0000, 0.0000, 0.3550)
Tl (0.0000, 0.0000, 0.5000)
Ga (0.0000, 0.0000, 0.4251)

***

Entry 3:
First-principles (PBE) data for a relaxed Sr2CaBi2 crystal, as listed in Alexandria.

VASP energy (eV per formula unit): -17.05
Crystal system: orthorhombic
M_tot (μB/cell): 0.0
ΔE to the lowest computed polymorph (meV/atom): 57

a = 13.3721 Å, b = 8.2386 Å, c = 8.3476 Å
α = 90.00°, β = 90.00°, γ = 90.00°
Space group Pbcm (No. 57)
Inequivalent atoms, fractional coordinates:
Sr (0.0529, 0.2500, 0.0000)
Sr (0.4461, 0.2500, 0.0000)
Ca (0.2505, 0.7500, 0.0000)
Bi (0.1128, 0.5532, 0.2500)
Bi (0.3882, 0.5539, 0.7500)

***

Entry 4:
First-principles (PBE) data for a relaxed BSIO2 crystal, as listed in Alexandria.

VASP energy (eV per formula unit): -18.43
D(E_F) (states/eV/f.u.): 2.341
Crystal system: tetragonal
M_tot (μB/cell): 0.3
Energy relative to the elements, uncorrected (kJ/mol of atoms): 74.0

a = 3.5423 Å, b = 3.5423 Å, c = 7.6614 Å
α = 90.00°, β = 90.00°, γ = 90.00°
Space group P4/mmm (No. 123)
Inequivalent atoms, fractional coordinates:
B (0.0000, 0.0000, 0.0000)
S (0.5000, 0.5000, 0.5000)
I (0.5000, 0.5000, 0.0000)
O (0.0000, 0.5000, 0.5000)

***

Entry 5:
First-principles (PBE) data for a relaxed ZnAs2SeBr crystal, as listed in Alexandria.

VASP energy (eV per formula unit): -12.55
D(E_F) (states/eV/f.u.): 4.544
Crystal system: tetragonal
M_tot (μB/cell): 0.0
Energy relative to the elements, uncorrected (kJ/mol of atoms): 61.3
ΔE to the lowest computed polymorph (meV/atom): 15

a = 5.0376 Å, b = 5.0376 Å, c = 4.7730 Å
α = 90.00°, β = 90.00°, γ = 90.00°
Space group P4/mmm (No. 123)
Inequivalent atoms, fractional coordinates:
Zn (0.0000, 0.0000, 0.0000)
As (0.0000, 0.5000, 0.0000)
Se (0.0000, 0.0000, 0.5000)
Br (0.5000, 0.5000, 0.5000)

***

Entry 6:
First-principles (PBE) data for a relaxed ScIn2Mo crystal, as listed in Alexandria.

VASP energy (eV per formula unit): -20.81
D(E_F) (states/eV/f.u.): 5.230
Crystal system: tetragonal
M_tot (μB/cell): 0.0
ΔE to the lowest computed polymorph (meV/atom): 513

a = 4.1666 Å, b = 4.1666 Å, c = 20.6179 Å
α = 90.00°, β = 90.00°, γ = 90.00°
Space group I-42d (No. 122)
Inequivalent atoms, fractional coordinates:
Sc (0.0000, 0.0000, 0.0000)
In (0.2335, 0.2500, 0.6250)
Mo (0.0000, 0.0000, 0.5000)

***

Which formula does entry 3 have?
Sr2CaBi2